SrLiAsRu2 meta-GGA SCAN PBEsol geometry; symmetry = P4/mmm (123); E_form = 40.9 kJ/mol of atoms; E = -22.4774 eV/atom
1.0
-3.141 -3.242 0.706
2.626 -1.834 3.259
-2.455 3.202 3.779
Ru Li Sr As
2 1 1 1
Cartesian
1.313 -0.917 1.629
-1.571 -1.621 0.353
-1.485 -0.937 3.872
-1.227 1.601 1.890
0.000 0.000 0.000